# 1
A crystal of ZnOs2Rh2 relaxed with PBEsol, computed with meta-GGA SCAN. Values from VASP.

calculated density = 13.75 g/cm3
space group = No. 139

The structure in Quantum ESPRESSO input format:
```
&SYSTEM
  ibrav = 0, nat = 5, ntyp = 3
/
ATOMIC_SPECIES
Rh 102.91 Rh.upf
Zn 65.41 Zn.upf
Os 190.23 Os.upf
CELL_PARAMETERS angstrom
-2.264 -2.665 1.190
-0.718 -0.951 -3.496
5.910 -1.901 1.255
ATOMIC_POSITIONS crystal
Rh 0.250 0.750 0.500
Rh 0.750 0.250 0.500
Zn 0.000 0.000 0.000
Os 0.400 0.400 0.800
Os 0.600 0.600 0.200
```

=====

# 2
A crystal of ZnOsRh2 relaxed with PBEsol, computed with meta-GGA SCAN. Values from VASP.

calculated density = 14.20 g/cm3
space group = No. 12

The structure in Quantum ESPRESSO input format:
```
&SYSTEM
  ibrav = 0, nat = 4, ntyp = 3
/
ATOMIC_SPECIES
Os 190.23 Os.upf
Rh 102.91 Rh.upf
Zn 65.41 Zn.upf
CELL_PARAMETERS angstrom
2.670 0.000 0.000
-1.335 4.400 -0.004
0.000 -0.707 4.596
ATOMIC_POSITIONS crystal
Os 0.500 0.000 0.000
Rh 0.753 0.506 0.754
Rh 0.247 0.494 0.246
Zn 0.000 0.000 0.500
```

=====

# 3
A crystal of ZnOsRh2 relaxed with PBEsol, computed with meta-GGA SCAN. Values from VASP.

calculated density = 14.27 g/cm3
space group = No. 123

The structure in Quantum ESPRESSO input format:
```
&SYSTEM
  ibrav = 0, nat = 4, ntyp = 3
/
ATOMIC_SPECIES
Rh 102.91 Rh.upf
Zn 65.41 Zn.upf
Os 190.23 Os.upf
CELL_PARAMETERS angstrom
-2.272 -0.797 1.255
0.536 -2.577 -0.666
3.721 -0.831 6.207
ATOMIC_POSITIONS crystal
Rh 0.000 0.000 0.750
Rh 0.000 0.000 0.250
Zn 0.500 0.500 0.000
Os 0.500 0.500 0.500
```

=====

Number 1: V 78.7 Å³ per cell, calculated formation energy 0.522 eV/atom. Number 2: V 54.0 Å³ per cell, calculated formation energy 0.011 eV/atom. Number 3: V 53.7 Å³ per cell, calculated formation energy -0.166 eV/atom.